Record 1
DFT (PBE) results for a relaxed LiAcMg2 crystal.

Computed properties:
Electronic total energy ... -2.30 eV per atom
Size of the total moment ... 0.000 Bohr magnetons per cell
Fermi-level density of states ... 0.64 states/eV per atom

Unit cell a=6.1016 b=14.2072 c=5.9367 alpha=90.00 beta=118.75 gamma=90.00
Space group C2/c (No. 15)
Unique sites:
Li 0.0000 0.2504 0.2500
Ac 0.0000 0.1452 0.7500
Mg 0.1717 0.4168 0.5959

=====

Record 2
DFT (PBE) results for a relaxed LiOsAu crystal.

Computed properties:
Electronic total energy ... -5.22 eV per atom
Size of the total moment ... 0.000 Bohr magnetons per cell
Fermi-level density of states ... 0.53 states/eV per atom

Unit cell a=2.7955 b=4.5930 c=14.3351 alpha=90.00 beta=90.00 gamma=90.00
Space group Fmm2 (No. 42)
Unique sites:
Li 0.0000 0.0000 0.0000
Os 0.0000 0.0000 0.6566
Au 0.0000 0.0000 0.3412

=====

Record 3
DFT (PBE) results for a relaxed Tb4Nd3SmS8 crystal.

Computed properties:
Raw formation energy ... -2016 meV per atom
Size of the total moment ... 0.000 Bohr magnetons per cell
Fermi-level density of states ... 0.51 states/eV per atom

Unit cell a=7.9496 b=7.9496 c=19.7369 alpha=90.00 beta=90.00 gamma=120.00
Space group R-3m (No. 166, hexagonal axes)
Unique sites:
Tb 0.0000 0.0000 0.0000
Tb 0.0000 0.5000 0.0000
Nd 0.0000 0.5000 0.5000
Sm 0.0000 0.0000 0.5000
S 0.0000 0.0000 0.2547
S 0.0024 0.5012 0.2541

=====

Record 4
DFT (PBE) results for a relaxed SrCa2SnP crystal.

Computed properties:
Electronic total energy ... -3.75 eV per atom
Size of the total moment ... 0.000 Bohr magnetons per cell
Fermi-level density of states ... 1.10 states/eV per atom

Unit cell a=5.4260 b=5.4260 c=5.7991 alpha=90.00 beta=90.00 gamma=90.00
Space group P4/mmm (No. 123)
Unique sites:
Sr 0.0000 0.0000 0.0000
Ca 0.0000 0.5000 0.5000
Sn 0.5000 0.5000 0.0000
P 0.0000 0.0000 0.5000

=====

What did the first record say?
DFT (PBE) results for a relaxed LiAcMg2 crystal.

Computed properties:
Electronic total energy ... -2.30 eV per atom
Size of the total moment ... 0.000 Bohr magnetons per cell
Fermi-level density of states ... 0.64 states/eV per atom

Unit cell a=6.1016 b=14.2072 c=5.9367 alpha=90.00 beta=118.75 gamma=90.00
Space group C2/c (No. 15)
Unique sites:
Li 0.0000 0.2504 0.2500
Ac 0.0000 0.1452 0.7500
Mg 0.1717 0.4168 0.5959